# Ac3WO6F2 | the Alexandria database | GGA+U | optimized geometry
data_Ac3WO6F2
_space_group_name_H-M_alt 'C 1 2/m 1'
_space_group_IT_number 12
_cell_length_a 12.2994
_cell_length_b 7.0256
_cell_length_c 5.1488
_cell_angle_alpha 90.00
_cell_angle_beta 93.71
_cell_angle_gamma 90.00
loop_
_space_group_symop_operation_xyz
'x,y,z'
'-x,-y,-z'
'-x,y,-z'
'x,-y,z'
'x+1/2,y+1/2,z'
'-x+1/2,-y+1/2,-z'
'-x+1/2,y+1/2,-z'
'x+1/2,-y+1/2,z'
loop_
_atom_site_label
_atom_site_type_symbol
_atom_site_fract_x
_atom_site_fract_y
_atom_site_fract_z
Ac1 Ac 0.0000 0.0000 0.0000
Ac2 Ac 0.2500 0.2500 0.5000
W1 W 0.0000 0.5000 0.5000
O1 O 0.0670 0.2726 0.2958
O2 O 0.1442 0.5000 0.6946
F1 F 0.1812 0.0000 0.8024
# E   -176.83 eV for the cell shown